Computed, not measured: Ba2Cd6InHg after structural relaxation at the PBE level of DFT.

a = 7.960 Å, b = 8.034 Å, c = 9.938 Å
α = 90.00°, β = 90.00°, γ = 90.00°
Element x y z (fractional)
Ba 0.500 0.742 0.260
Ba 0.000 0.258 0.760
Ba 0.500 0.742 0.740
Ba 0.000 0.258 0.240
Cd 0.500 0.243 0.247
Cd 0.500 0.243 0.753
Cd 0.000 0.757 0.253
Cd 0.000 0.757 0.747
Cd 0.174 0.934 0.500
Cd 0.826 0.934 0.500
Cd 0.317 0.394 0.500
Cd 0.683 0.394 0.500
Cd 0.817 0.606 0.000
Cd 0.183 0.606 0.000
Cd 0.326 0.066 0.000
Cd 0.674 0.066 0.000
In 0.000 0.566 0.500
In 0.500 0.434 0.000
Hg 0.500 0.056 0.500
Hg 0.000 0.944 0.000

Properties
Magnetic moment: 0.00 μB/cell
Symmetry: Pmmn
Calculated formation energy: -0.188 eV per atom
Density of states at the Fermi level: 5.18 states/eV/f.u.

***

Computed, not measured: RbZr3C after structural relaxation at the PBE level of DFT.

a = 4.797 Å, b = 4.797 Å, c = 4.797 Å
α = 90.00°, β = 90.00°, γ = 90.00°
Element x y z (fractional)
C 0.000 0.000 0.000
Rb 0.500 0.500 0.500
Zr 0.000 0.500 0.000
Zr 0.000 0.000 0.500
Zr 0.500 0.000 0.000

Properties
Magnetic moment: 0.00 μB/cell
Symmetry: Pm-3m
Calculated formation energy: 0.661 eV per atom
Density of states at the Fermi level: 12.02 states/eV/f.u.

***

Computed, not measured: SrIn4CuIr2 after structural relaxation at the PBE level of DFT.

a = 4.572 Å, b = 4.572 Å, c = 10.173 Å
α = 77.01°, β = 77.01°, γ = 60.00°
Element x y z (fractional)
Sr 0.000 0.000 0.000
In 0.404 0.404 0.787
In 0.867 0.867 0.399
In 0.133 0.133 0.601
In 0.596 0.596 0.213
Cu 0.500 0.500 0.500
Ir 0.772 0.772 0.684
Ir 0.228 0.228 0.316

Properties
Magnetic moment: 0.00 μB/cell
Symmetry: R-3m
Calculated formation energy: -0.143 eV per atom
Density of states at the Fermi level: 4.01 states/eV/f.u.

***

Computed, not measured: Tl12Hg6Pd after structural relaxation at the PBE level of DFT.

a = 8.431 Å, b = 8.431 Å, c = 8.431 Å
α = 101.87°, β = 101.87°, γ = 101.87°
Element x y z (fractional)
Tl 0.311 0.075 0.355
Tl 0.075 0.355 0.311
Tl 0.355 0.311 0.075
Tl 0.689 0.925 0.645
Tl 0.925 0.645 0.689
Tl 0.645 0.689 0.925
Tl 0.127 0.045 0.684
Tl 0.316 0.873 0.955
Tl 0.955 0.316 0.873
Tl 0.873 0.955 0.316
Tl 0.684 0.127 0.045
Tl 0.045 0.684 0.127
Hg 0.249 0.469 0.712
Hg 0.531 0.288 0.751
Hg 0.288 0.751 0.531
Hg 0.751 0.531 0.288
Hg 0.469 0.712 0.249
Hg 0.712 0.249 0.469
Pd 0.000 0.000 0.000

Properties
Magnetic moment: 0.00 μB/cell
Symmetry: R-3
Calculated formation energy: 0.026 eV per atom
Density of states at the Fermi level: 6.94 states/eV/f.u.

***

Computed, not measured: Nb2FePd8 after structural relaxation at the PBE level of DFT.

a = 4.630 Å, b = 7.000 Å, c = 7.185 Å
α = 60.85°, β = 77.09°, γ = 62.70°
Site moments in Bohr magnetons follow the coordinates.
Element x y z (fractional)
Nb 0.000 0.306 0.388  0.07
Nb 0.000 0.694 0.612  0.07
Fe 0.500 0.000 0.000  -3.23
Pd 0.868 0.101 0.226  -0.01
Pd 0.868 0.327 0.774  -0.01
Pd 0.310 0.389 0.000  -0.11
Pd 0.500 0.793 0.414  -0.05
Pd 0.500 0.207 0.586  -0.05
Pd 0.690 0.611 0.000  -0.11
Pd 0.132 0.673 0.226  -0.01
Pd 0.132 0.899 0.774  -0.01

Properties
Magnetic moment: 3.44 μB/cell
Symmetry: C2/m
Calculated formation energy: -0.057 eV per atom
Density of states at the Fermi level: 7.65 states/eV/f.u.

***

Computed, not measured: Pr3Hf after structural relaxation at the PBE level of DFT.

a = 6.140 Å, b = 6.140 Å, c = 6.140 Å
α = 131.67°, β = 131.67°, γ = 70.74°
Element x y z (fractional)
Pr 0.750 0.250 0.500
Pr 0.250 0.750 0.500
Pr 0.500 0.500 0.000
Hf 0.000 0.000 0.000

Properties
Magnetic moment: 0.00 μB/cell
Symmetry: I4/mmm
Calculated formation energy: 0.207 eV per atom
Density of states at the Fermi level: 5.35 states/eV/f.u.

***

Computed, not measured: Ta3MoSe after structural relaxation at the PBE level of DFT.

a = 4.859 Å, b = 4.859 Å, c = 4.859 Å
α = 90.00°, β = 90.00°, γ = 90.00°
Element x y z (fractional)
Mo 0.000 0.000 0.000
Se 0.500 0.500 0.500
Ta 0.000 0.500 0.000
Ta 0.000 0.000 0.500
Ta 0.500 0.000 0.000

Properties
Magnetic moment: 0.00 μB/cell
Symmetry: Pm-3m
Raw formation energy: 6.953 eV per formula unit
Density of states at the Fermi level: 3.43 states/eV/f.u.

***

Computed, not measured: BaPt2S3 after structural relaxation at the PBE level of DFT.

a = 6.879 Å, b = 6.879 Å, c = 12.434 Å
α = 90.00°, β = 90.00°, γ = 90.00°
Element x y z (fractional)
Ba 0.679 0.679 0.000
Ba 0.179 0.821 0.750
Ba 0.821 0.179 0.250
Ba 0.321 0.321 0.500
Pt 0.750 0.005 0.625
Pt 0.995 0.250 0.875
Pt 0.005 0.750 0.375
Pt 0.250 0.495 0.125
Pt 0.750 0.505 0.625
Pt 0.495 0.250 0.875
Pt 0.505 0.750 0.375
Pt 0.250 0.995 0.125
S 0.254 0.837 0.495
S 0.746 0.163 0.995
S 0.837 0.254 0.505
S 0.337 0.246 0.245
S 0.663 0.754 0.745
S 0.246 0.337 0.755
S 0.754 0.663 0.255
S 0.245 0.245 0.000
S 0.755 0.755 0.500
S 0.745 0.255 0.750
S 0.255 0.745 0.250
S 0.163 0.746 0.005

Properties
Magnetic moment: 0.00 μB/cell
Symmetry: P4_12_12
Raw formation energy: -5.916 eV per formula unit

***

Number 4 is which compound?
Tl12Hg6Pd

***

Please write out number 5 again, unchanged.
Computed, not measured: Nb2FePd8 after structural relaxation at the PBE level of DFT.

a = 4.630 Å, b = 7.000 Å, c = 7.185 Å
α = 60.85°, β = 77.09°, γ = 62.70°
Site moments in Bohr magnetons follow the coordinates.
Element x y z (fractional)
Nb 0.000 0.306 0.388  0.07
Nb 0.000 0.694 0.612  0.07
Fe 0.500 0.000 0.000  -3.23
Pd 0.868 0.101 0.226  -0.01
Pd 0.868 0.327 0.774  -0.01
Pd 0.310 0.389 0.000  -0.11
Pd 0.500 0.793 0.414  -0.05
Pd 0.500 0.207 0.586  -0.05
Pd 0.690 0.611 0.000  -0.11
Pd 0.132 0.673 0.226  -0.01
Pd 0.132 0.899 0.774  -0.01

Properties
Magnetic moment: 3.44 μB/cell
Symmetry: C2/m
Calculated formation energy: -0.057 eV per atom
Density of states at the Fermi level: 7.65 states/eV/f.u.